DFT (PBE) results for an optimized crystal structure of BaSb3Cl.

Cell: 5.5122 5.5122 5.5122 Å, 90.00 90.00 90.00°
Closest atoms and distances in Å follow each position.
Fractional coordinates of all 5 atoms:
Ba1 0.0000 0.0000 0.0000  12 Sb 3.90
Sb1 0.0000 0.5000 0.5000  2 Cl 2.76
Sb2 0.5000 0.0000 0.5000  2 Cl 2.76
Sb3 0.5000 0.5000 0.0000  2 Cl 2.76
Cl1 0.5000 0.5000 0.5000  6 Sb 2.76

Properties
space group = Pm-3m
magnetic moment = 0.0 μB per formula unit
calculated total energy = -3.28 eV per atom
raw formation energy = -48.7 meV per atom

---

DFT (PBE) results for an optimized crystal structure of AgPd3Pb.

Cell: 6.7770 6.7770 5.0411 Å, 90.00 90.00 120.00°
Closest atoms and distances in Å follow each position.
Fractional coordinates of all 10 atoms:
Ag1 0.0000 0.0000 0.0000  2 Ag 2.52, 6 Pd 2.68
Ag2 0.0000 0.0000 0.5000  2 Ag 2.52, 6 Pd 2.68
Pd1 0.2014 0.4028 0.2500  2 Ag 2.68, 2 Pd 2.68, 2 Pb 2.96
Pd2 0.2014 0.7986 0.2500  2 Ag 2.68, 2 Pd 2.68, 2 Pb 2.96
Pd3 0.4028 0.2014 0.7500  2 Ag 2.68, 2 Pd 2.68, 2 Pb 2.96
Pd4 0.5972 0.7986 0.2500  2 Ag 2.68, 2 Pd 2.68, 2 Pb 2.96
Pd5 0.7986 0.2014 0.7500  2 Ag 2.68, 2 Pd 2.68, 2 Pb 2.96
Pd6 0.7986 0.5972 0.7500  2 Ag 2.68, 2 Pd 2.68, 2 Pb 2.96
Pb1 0.3333 0.6667 0.7500  6 Pd 2.96
Pb2 0.6667 0.3333 0.2500  6 Pd 2.96

Properties
space group = P6_3/mmc
magnetic moment = 0.0 μB per formula unit
calculated total energy = -4.26 eV per atom

---

DFT (PBE) results for an optimized crystal structure of Pa2Si4OsRh3.

Cell: 4.1426 4.1426 9.7186 Å, 90.00 90.00 90.00°
Closest atoms and distances in Å follow each position.
Fractional coordinates of all 10 atoms:
Pa1 0.0000 0.5000 0.2464  8 Si 3.14-3.22, 2 Os 3.17, 6 Rh 3.17-3.19
Pa2 0.5000 0.0000 0.7536  8 Si 3.14-3.22, 2 Os 3.17, 6 Rh 3.17-3.19
Si1 0.0000 0.0000 0.5000  4 Rh 2.40
Si2 0.0000 0.5000 0.8687  3 Rh 2.37-2.43, 2 Os 2.43
Si3 0.5000 0.0000 0.1313  3 Rh 2.37-2.43, 2 Os 2.43
Si4 0.5000 0.5000 0.5000  4 Rh 2.40
Os1 0.5000 0.5000 0.0000  4 Si 2.43
Rh1 0.0000 0.0000 0.0000  4 Si 2.43
Rh2 0.0000 0.5000 0.6249  5 Si 2.37-2.40
Rh3 0.5000 0.0000 0.3751  5 Si 2.37-2.40

Properties
space group = P-4m2
magnetic moment = 0.0 μB per formula unit
calculated total energy = -8.31 eV per atom
raw formation energy = -913.2 meV per atom

---

DFT (PBE) results for an optimized crystal structure of Ca2CrHg.

Cell: 4.7412 4.7412 21.4027 Å, 90.00 90.00 90.00°
Closest atoms and distances in Å follow each position.
Fractional coordinates of all 16 atoms:
Ca1 0.2462 0.2500 0.1250  2 Hg 3.15, 2 Cr 3.16, 4 Ca 3.33-3.38
Ca2 0.2500 0.7462 0.3750  2 Hg 3.15, 2 Cr 3.16, 4 Ca 3.33-3.38
Ca3 0.2500 0.7538 0.8750  2 Hg 3.15, 2 Cr 3.16, 4 Ca 3.33-3.38
Ca4 0.2538 0.2500 0.6250  2 Hg 3.15, 2 Cr 3.16, 4 Ca 3.33-3.38
Ca5 0.7462 0.7500 0.6250  2 Hg 3.15, 2 Cr 3.16, 4 Ca 3.33-3.38
Ca6 0.7500 0.2462 0.8750  2 Hg 3.15, 2 Cr 3.16, 4 Ca 3.33-3.38
Ca7 0.7500 0.2538 0.3750  2 Hg 3.15, 2 Cr 3.16, 4 Ca 3.33-3.38
Ca8 0.7538 0.7500 0.1250  2 Hg 3.15, 2 Cr 3.16, 4 Ca 3.33-3.38
Cr1 0.0000 0.0000 0.5000  4 Ca 3.16, 4 Hg 3.35
Cr2 0.0000 0.5000 0.7500  4 Ca 3.16, 4 Hg 3.35
Cr3 0.5000 0.0000 0.2500  4 Ca 3.16, 4 Hg 3.35
Cr4 0.5000 0.5000 0.0000  4 Ca 3.16, 4 Hg 3.35
Hg1 0.0000 0.0000 0.0000  4 Ca 3.15, 4 Cr 3.35
Hg2 0.0000 0.5000 0.2500  4 Ca 3.15, 4 Cr 3.35
Hg3 0.5000 0.0000 0.7500  4 Ca 3.15, 4 Cr 3.35
Hg4 0.5000 0.5000 0.5000  4 Ca 3.15, 4 Cr 3.35

Properties
space group = I-42d
magnetic moment = 4.7 μB per formula unit
calculated total energy = -2.99 eV per atom

---

DFT (PBE) results for an optimized crystal structure of CuNi2Os.

Cell: 3.6576 3.6576 7.1839 Å, 90.00 90.00 90.00°
Closest atoms and distances in Å follow each position.
Fractional coordinates of all 8 atoms:
Cu1 0.0000 0.0000 0.0000  8 Ni 2.56, 4 Os 2.59
Cu2 0.5000 0.5000 0.5000  8 Ni 2.56, 4 Os 2.59
Ni1 0.0000 0.5000 0.2500  4 Cu 2.56, 4 Os 2.56, 4 Ni 2.59
Ni2 0.0000 0.5000 0.7500  4 Cu 2.56, 4 Os 2.56, 4 Ni 2.59
Ni3 0.5000 0.0000 0.2500  4 Cu 2.56, 4 Os 2.56, 4 Ni 2.59
Ni4 0.5000 0.0000 0.7500  4 Cu 2.56, 4 Os 2.56, 4 Ni 2.59
Os1 0.0000 0.0000 0.5000  8 Ni 2.56, 4 Cu 2.59
Os2 0.5000 0.5000 0.0000  8 Ni 2.56, 4 Cu 2.59

Properties
space group = I4/mmm
magnetic moment = 0.8 μB per formula unit
calculated total energy = -6.49 eV per atom

---

DFT (PBE) results for an optimized crystal structure of Ba2TmCu4O8.

Cell: 13.9138 13.9138 3.8580 Å, 90.00 90.00 163.96°
Closest atoms and distances in Å follow each position.
Fractional coordinates of all 15 atoms:
Ba1 0.1357 0.8643 0.0000  10 O 2.75-3.04
Ba2 0.8643 0.1357 0.0000  10 O 2.75-3.04
Tm1 0.0000 0.0000 0.0000  8 O 2.38-2.39
Cu1 0.2869 0.7131 0.5000  4 O 1.85-1.95
Cu2 0.4397 0.5603 0.5000  4 O 1.95-1.96
Cu3 0.5603 0.4397 0.5000  4 O 1.95-1.96
Cu4 0.7131 0.2869 0.5000  4 O 1.85-1.95
O1 0.0506 0.9494 0.5000  2 Cu 1.96
O2 0.2182 0.7818 0.5000  3 Cu 1.90-1.95
O3 0.3541 0.6459 0.5000  1 Cu 1.85
O4 0.4494 0.5506 0.0000  2 Cu 1.95
O5 0.5506 0.4494 0.0000  2 Cu 1.95
O6 0.6459 0.3541 0.5000  1 Cu 1.85
O7 0.7818 0.2182 0.5000  3 Cu 1.90-1.95
O8 0.9494 0.0506 0.5000  2 Cu 1.96

Properties
space group = Cmmm
magnetic moment = 0.0 μB per formula unit
calculated total energy = -5.98 eV per atom
raw formation energy = -1685.8 meV per atom

---

DFT (PBE) results for an optimized crystal structure of CrPRhBr2.

Cell: 5.1257 5.1257 4.3619 Å, 90.00 90.00 90.00°
Closest atoms and distances in Å follow each position.
Fractional coordinates of all 5 atoms:
Cr1 0.0000 0.0000 0.0000  2 P 2.18
P1 0.0000 0.0000 0.5000  2 Cr 2.18
Rh1 0.5000 0.5000 0.0000  8 Br 3.37, 4 Cr 3.62
Br1 0.0000 0.5000 0.5000  2 P 2.56
Br2 0.5000 0.0000 0.5000  2 P 2.56

Properties
space group = P4/mmm
magnetic moment = 0.0 μB per formula unit
calculated total energy = -3.84 eV per atom
raw formation energy = 1302.9 meV per atom

---

DFT (PBE) results for an optimized crystal structure of Na2SrH2.

Cell: 4.3248 4.3248 11.7415 Å, 90.00 90.00 90.00°
Closest atoms and distances in Å follow each position.
Fractional coordinates of all 10 atoms:
Na1 0.0000 0.0000 0.1822  4 H 2.30
Na2 0.0000 0.0000 0.8178  4 H 2.30
Na3 0.5000 0.5000 0.3178  4 H 2.30
Na4 0.5000 0.5000 0.6822  4 H 2.30
Sr1 0.0000 0.0000 0.5000  8 H 3.65, 10 Na 3.73
Sr2 0.5000 0.5000 0.0000  8 H 3.65, 10 Na 3.73
H1 0.0000 0.5000 0.2500  4 Na 2.30
H2 0.0000 0.5000 0.7500  4 Na 2.30
H3 0.5000 0.0000 0.2500  4 Na 2.30
H4 0.5000 0.0000 0.7500  4 Na 2.30

Properties
space group = I4/mmm
magnetic moment = 0.0 μB per formula unit
calculated total energy = -2.20 eV per atom

---

DFT (PBE) results for an optimized crystal structure of ZnCrNiRh2.

Cell: 4.5132 4.5132 4.3114 Å, 90.00 90.00 90.00°
Closest atoms and distances in Å follow each position.
Fractional coordinates of all 5 atoms:
Zn1 0.0000 0.0000 0.0000  8 Rh 3.12, 4 Cr 3.19
Cr1 0.5000 0.5000 0.0000  2 Ni 2.16
Ni1 0.5000 0.5000 0.5000  2 Cr 2.16, 4 Rh 2.26
Rh1 0.0000 0.5000 0.5000  2 Ni 2.26
Rh2 0.5000 0.0000 0.5000  2 Ni 2.26

Properties
space group = P4/mmm
magnetic moment = 4.8 μB per formula unit
calculated total energy = -5.35 eV per atom

---

DFT (PBE) results for an optimized crystal structure of CaSiSe.

Cell: 6.7820 6.7820 6.7820 Å, 90.00 90.00 90.00°
Closest atoms and distances in Å follow each position.
Fractional coordinates of all 12 atoms:
Ca1 0.0000 0.0000 0.0000  4 Se 2.94
Ca2 0.0000 0.5000 0.5000  4 Se 2.94
Ca3 0.5000 0.0000 0.5000  4 Se 2.94
Ca4 0.5000 0.5000 0.0000  4 Se 2.94
Si1 0.0000 0.0000 0.5000  4 Se 2.94
Si2 0.0000 0.5000 0.0000  4 Se 2.94
Si3 0.5000 0.0000 0.0000  4 Se 2.94
Si4 0.5000 0.5000 0.5000  4 Se 2.94
Se1 0.2500 0.2500 0.2500  4 Ca 2.94, 4 Si 2.94
Se2 0.2500 0.7500 0.7500  4 Ca 2.94, 4 Si 2.94
Se3 0.7500 0.2500 0.7500  4 Ca 2.94, 4 Si 2.94
Se4 0.7500 0.7500 0.2500  4 Ca 2.94, 4 Si 2.94

Properties
space group = F-43m
magnetic moment = 0.0 μB per formula unit
calculated total energy = -3.86 eV per atom
raw formation energy = -224.6 meV per atom

---

DFT (PBE) results for an optimized crystal structure of BaGa2CuNi.

Cell: 4.6360 4.6360 4.9653 Å, 90.00 90.00 90.00°
Closest atoms and distances in Å follow each position.
Fractional coordinates of all 5 atoms:
Ba1 0.0000 0.0000 0.0000  4 Cu 3.28, 8 Ga 3.40
Ga1 0.0000 0.5000 0.5000  2 Ni 2.32
Ga2 0.5000 0.0000 0.5000  2 Ni 2.32
Cu1 0.5000 0.5000 0.0000  2 Ni 2.48
Ni1 0.5000 0.5000 0.5000  4 Ga 2.32, 2 Cu 2.48

Properties
space group = P4/mmm
magnetic moment = 0.0 μB per formula unit
calculated total energy = -3.78 eV per atom

---

DFT (PBE) results for an optimized crystal structure of CdBi2Se.

Cell: 6.2410 6.2410 15.5783 Å, 90.00 90.00 90.00°
Closest atoms and distances in Å follow each position.
Fractional coordinates of all 16 atoms:
Cd1 0.0000 0.0000 0.0000  4 Bi 2.98
Cd2 0.0000 0.5000 0.2500  4 Bi 2.98
Cd3 0.5000 0.0000 0.7500  4 Bi 2.98
Cd4 0.5000 0.5000 0.5000  4 Bi 2.98
Bi1 0.2389 0.2500 0.6250  2 Se 2.91, 2 Cd 2.98
Bi2 0.2500 0.7389 0.8750  2 Se 2.91, 2 Cd 2.98
Bi3 0.2500 0.7611 0.3750  2 Se 2.91, 2 Cd 2.98
Bi4 0.2611 0.2500 0.1250  2 Se 2.91, 2 Cd 2.98
Bi5 0.7389 0.7500 0.1250  2 Se 2.91, 2 Cd 2.98
Bi6 0.7500 0.2389 0.3750  2 Se 2.91, 2 Cd 2.98
Bi7 0.7500 0.2611 0.8750  2 Se 2.91, 2 Cd 2.98
Bi8 0.7611 0.7500 0.6250  2 Se 2.91, 2 Cd 2.98
Se1 0.0000 0.0000 0.5000  4 Bi 2.91
Se2 0.0000 0.5000 0.7500  4 Bi 2.91
Se3 0.5000 0.0000 0.2500  4 Bi 2.91
Se4 0.5000 0.5000 0.0000  4 Bi 2.91

Properties
space group = I-42d
magnetic moment = 0.0 μB per formula unit
calculated total energy = -2.88 eV per atom
raw formation energy = 158.9 meV per atom

---

DFT (PBE) results for an optimized crystal structure of Ac2PmCu2.

Cell: 8.3934 8.3934 6.0370 Å, 90.00 90.00 132.73°
Closest atoms and distances in Å follow each position.
Fractional coordinates of all 10 atoms:
Ac1 0.0850 0.9150 0.7500  6 Cu 3.24-3.32
Ac2 0.2812 0.7188 0.2500  2 Cu 2.99
Ac3 0.7188 0.2812 0.7500  2 Cu 2.99
Ac4 0.9150 0.0850 0.2500  6 Cu 3.24-3.32
Pm1 0.5000 0.5000 0.0000  2 Pm 3.02, 4 Cu 3.02
Pm2 0.5000 0.5000 0.5000  2 Pm 3.02, 4 Cu 3.02
Cu1 0.0907 0.3054 0.7500  1 Cu 2.67
Cu2 0.3054 0.0907 0.2500  1 Cu 2.67
Cu3 0.6946 0.9093 0.7500  1 Cu 2.67
Cu4 0.9093 0.6946 0.2500  1 Cu 2.67

Properties
space group = Cmcm
magnetic moment = 0.0 μB per formula unit
calculated total energy = -4.13 eV per atom

---

DFT (PBE) results for an optimized crystal structure of Sc2CrRe.

Cell: 3.8452 3.8452 4.5414 Å, 90.00 90.00 90.00°
Closest atoms and distances in Å follow each position.
Fractional coordinates of all 4 atoms:
Sc1 0.0000 0.5000 0.0000  4 Sc 2.72, 4 Cr 2.98, 4 Re 2.98
Sc2 0.5000 0.0000 0.0000  4 Sc 2.72, 4 Cr 2.98, 4 Re 2.98
Cr1 0.0000 0.0000 0.5000  4 Re 2.72, 8 Sc 2.98
Re1 0.5000 0.5000 0.5000  4 Cr 2.72, 8 Sc 2.98

Properties
space group = P4/mmm
magnetic moment = 0.0 μB per formula unit
calculated total energy = -8.33 eV per atom

---

DFT (PBE) results for an optimized crystal structure of TaHgIr.

Cell: 6.2955 6.2955 6.2955 Å, 90.00 90.00 90.00°
Closest atoms and distances in Å follow each position.
Fractional coordinates of all 12 atoms:
Ta1 0.0000 0.0000 0.0000  4 Hg 2.73, 4 Ir 2.73
Ta2 0.0000 0.5000 0.5000  4 Hg 2.73, 4 Ir 2.73
Ta3 0.5000 0.0000 0.5000  4 Hg 2.73, 4 Ir 2.73
Ta4 0.5000 0.5000 0.0000  4 Hg 2.73, 4 Ir 2.73
Hg1 0.2500 0.2500 0.2500  4 Ta 2.73
Hg2 0.2500 0.7500 0.7500  4 Ta 2.73
Hg3 0.7500 0.2500 0.7500  4 Ta 2.73
Hg4 0.7500 0.7500 0.2500  4 Ta 2.73
Ir1 0.2500 0.2500 0.7500  4 Ta 2.73
Ir2 0.2500 0.7500 0.2500  4 Ta 2.73
Ir3 0.7500 0.2500 0.2500  4 Ta 2.73
Ir4 0.7500 0.7500 0.7500  4 Ta 2.73

Properties
space group = F-43m
magnetic moment = 0.0 μB per formula unit
calculated total energy = -6.53 eV per atom

---

DFT (PBE) results for an optimized crystal structure of Ca2Pd3Au.

Cell: 5.5295 5.5295 5.5295 Å, 59.94 59.94 59.94°
Closest atoms and distances in Å follow each position.
Fractional coordinates of all 6 atoms:
Ca1 0.1238 0.1238 0.1238  9 Pd 3.23-3.26, 3 Au 3.24, 4 Ca 3.36-3.39
Ca2 0.8762 0.8762 0.8762  9 Pd 3.23-3.26, 3 Au 3.24, 4 Ca 3.36-3.39
Pd1 0.0000 0.5000 0.5000  4 Pd 2.76, 2 Au 2.76
Pd2 0.5000 0.0000 0.5000  4 Pd 2.76, 2 Au 2.76
Pd3 0.5000 0.5000 0.0000  4 Pd 2.76, 2 Au 2.76
Au1 0.5000 0.5000 0.5000  6 Pd 2.76

Properties
space group = R-3m
magnetic moment = 0.0 μB per formula unit
calculated total energy = -4.52 eV per atom

---

DFT (PBE) results for an optimized crystal structure of LiHf3Tc2.

Cell: 3.2798 3.2798 10.4054 Å, 90.00 90.00 90.00°
Closest atoms and distances in Å follow each position.
Fractional coordinates of all 6 atoms:
Li1 0.0000 0.0000 0.0000  8 Hf 3.09, 4 Li 3.28
Hf1 0.5000 0.5000 0.1960  4 Tc 2.74
Hf2 0.5000 0.5000 0.5000  8 Tc 2.88, 2 Hf 3.16
Hf3 0.5000 0.5000 0.8040  4 Tc 2.74
Tc1 0.0000 0.0000 0.3360  8 Hf 2.74-2.88
Tc2 0.0000 0.0000 0.6640  8 Hf 2.74-2.88

Properties
space group = P4/mmm
magnetic moment = 0.0 μB per formula unit
calculated total energy = -9.03 eV per atom

---

DFT (PBE) results for an optimized crystal structure of KTlRh3.

Cell: 5.1199 5.1199 5.1199 Å, 90.00 90.00 90.00°
Closest atoms and distances in Å follow each position.
Fractional coordinates of all 5 atoms:
K1 0.0000 0.0000 0.0000  12 Rh 3.62
Tl1 0.5000 0.5000 0.5000  6 Rh 2.56
Rh1 0.0000 0.5000 0.5000  2 Tl 2.56
Rh2 0.5000 0.0000 0.5000  2 Tl 2.56
Rh3 0.5000 0.5000 0.0000  2 Tl 2.56

Properties
space group = Pm-3m
magnetic moment = 1.6 μB per formula unit
calculated total energy = -3.90 eV per atom

---

DFT (PBE) results for an optimized crystal structure of La2DyTmSe6.

Cell: 7.7494 7.7494 7.7494 Å, 57.19 57.19 57.19°
Closest atoms and distances in Å follow each position.
Fractional coordinates of all 10 atoms:
La1 0.0000 0.0000 0.0000  6 Se 2.99-3.07
La2 0.4995 0.4995 0.4995  6 Se 3.00-3.07
Dy1 0.2050 0.2050 0.2050  6 Se 2.83-2.90
Tm1 0.7043 0.7043 0.7043  6 Se 2.81-2.86
Se1 0.0761 0.4243 0.8272  1 Tm 2.81, 1 Dy 2.90, 2 La 3.00-3.07
Se2 0.3294 0.9203 0.5799  1 Dy 2.83, 1 Tm 2.86, 2 La 2.99-3.07
Se3 0.4243 0.8272 0.0761  1 Tm 2.81, 1 Dy 2.90, 2 La 3.00-3.07
Se4 0.5799 0.3294 0.9203  1 Dy 2.83, 1 Tm 2.86, 2 La 2.99-3.07
Se5 0.8272 0.0761 0.4243  1 Tm 2.81, 1 Dy 2.90, 2 La 3.00-3.07
Se6 0.9203 0.5799 0.3294  1 Dy 2.83, 1 Tm 2.86, 2 La 2.99-3.07

Properties
space group = R3
magnetic moment = 0.0 μB per formula unit
calculated total energy = -5.90 eV per atom
raw formation energy = -1914.4 meV per atom

---

DFT (PBE) results for an optimized crystal structure of CdHgI4.

Cell: 7.5706 4.3221 16.5289 Å, 90.00 116.37 90.00°
Closest atoms and distances in Å follow each position.
Fractional coordinates of all 12 atoms:
Cd1 0.0000 0.0000 0.0000  6 I 3.02-3.06
Cd2 0.0000 0.5000 0.5000  6 I 3.02-3.06
Hg1 0.5000 0.0000 0.5000  6 I 3.01-3.10
Hg2 0.5000 0.5000 0.0000  6 I 3.01-3.10
I1 0.0464 0.0007 0.3829  2 Cd 3.02-3.03, 1 Hg 3.10
I2 0.0464 0.4993 0.8829  2 Cd 3.02-3.03, 1 Hg 3.10
I3 0.4468 0.0145 0.1176  2 Hg 3.01-3.10, 1 Cd 3.06
I4 0.4468 0.4855 0.6176  2 Hg 3.01-3.10, 1 Cd 3.06
I5 0.5532 0.5145 0.3824  2 Hg 3.01-3.10, 1 Cd 3.06
I6 0.5532 0.9855 0.8824  2 Hg 3.01-3.10, 1 Cd 3.06
I7 0.9536 0.5007 0.1171  2 Cd 3.02-3.03, 1 Hg 3.10
I8 0.9536 0.9993 0.6171  2 Cd 3.02-3.03, 1 Hg 3.10

Properties
space group = P2_1/c
magnetic moment = 0.0 μB per formula unit
calculated total energy = -1.63 eV per atom
raw formation energy = -391.4 meV per atom